No. 1
! Mn2TlBiP | the Alexandria database | PBE | relaxed; values from VASP
&SYSTEM
  ibrav = 0, nat = 5, ntyp = 4
/
ATOMIC_SPECIES
Mn 54.94 Mn.upf
Tl 204.38 Tl.upf
Bi 208.98 Bi.upf
P 30.97 P.upf
CELL_PARAMETERS angstrom
5.080 0.000 0.000
0.000 5.080 0.000
0.000 0.000 5.846
ATOMIC_POSITIONS angstrom
Mn 0.000 2.540 0.000
Mn 2.540 0.000 0.000
Tl 0.000 0.000 0.000
Bi 0.000 0.000 2.923
P 2.540 2.540 2.923
! total DFT energy (no corrections)	-4.618	eV/atom
! energy relative to the elements	1.3810	eV/atom


No. 2
! K2BeI | the Alexandria database | PBE | relaxed; values from VASP
&SYSTEM
  ibrav = 0, nat = 4, ntyp = 3
/
ATOMIC_SPECIES
K 39.10 K.upf
Be 9.01 Be.upf
I 126.90 I.upf
CELL_PARAMETERS angstrom
0.000 4.291 4.291
4.291 0.000 4.291
4.291 4.291 0.000
ATOMIC_POSITIONS angstrom
K 2.145 2.145 2.145
K 6.436 6.436 6.436
Be 0.000 0.000 0.000
I 4.291 4.291 4.291
! E_form (uncorrected)	0.05	eV/atom
! ΔE to the lowest computed polymorph	0	meV per atom
! total DFT energy (no corrections)	-1.813	eV/atom


No. 3
! PrHoSc2 | the Alexandria database | PBE | relaxed; values from VASP
&SYSTEM
  ibrav = 0, nat = 4, ntyp = 3
/
ATOMIC_SPECIES
Pr 140.91 Pr.upf
Ho 164.93 Ho.upf
Sc 44.96 Sc.upf
CELL_PARAMETERS angstrom
3.541 0.000 0.000
0.000 3.541 0.000
0.000 0.000 9.178
ATOMIC_POSITIONS angstrom
Pr 0.000 0.000 0.000
Ho 0.000 0.000 4.589
Sc 1.771 1.771 2.347
Sc 1.771 1.771 6.831
! ΔE to the lowest computed polymorph	2	meV per atom
! total DFT energy (no corrections)	-5.445	eV/atom
! energy relative to the elements	0.0606	eV/atom


No. 4
! GaCoSe2Br | the Alexandria database | PBE | relaxed; values from VASP
&SYSTEM
  ibrav = 0, nat = 5, ntyp = 4
/
ATOMIC_SPECIES
Ga 69.72 Ga.upf
Co 58.93 Co.upf
Se 78.96 Se.upf
Br 79.90 Br.upf
CELL_PARAMETERS angstrom
4.651 0.000 0.000
0.000 4.651 0.000
0.000 0.000 5.572
ATOMIC_POSITIONS angstrom
Ga 0.000 0.000 0.000
Co 2.326 2.326 2.786
Se 0.000 2.326 2.786
Se 2.326 0.000 2.786
Br 2.326 2.326 0.000
! E_form (uncorrected)	0.08	eV/atom
! ΔE to the lowest computed polymorph	0	meV per atom
! total DFT energy (no corrections)	-3.678	eV/atom


No. 5
! LiTa2Sb | the Alexandria database | PBE | relaxed; values from VASP
&SYSTEM
  ibrav = 0, nat = 4, ntyp = 3
/
ATOMIC_SPECIES
Li 6.94 Li.upf
Ta 180.95 Ta.upf
Sb 121.76 Sb.upf
CELL_PARAMETERS angstrom
2.955 0.000 0.000
0.000 4.896 0.000
-0.258 0.000 5.177
ATOMIC_POSITIONS angstrom
Li 0.000 0.000 0.000
Ta 0.595 2.448 3.958
Ta 2.102 2.448 1.218
Sb 1.349 0.000 2.588
! E_form (uncorrected)	0.21	eV/atom
! total DFT energy (no corrections)	-7.225	eV/atom


No. 6
! AuSeN2F | the Alexandria database | PBE | relaxed; values from VASP
&SYSTEM
  ibrav = 0, nat = 5, ntyp = 4
/
ATOMIC_SPECIES
Au 196.97 Au.upf
Se 78.96 Se.upf
N 14.01 N.upf
F 19.00 F.upf
CELL_PARAMETERS angstrom
4.119 0.000 0.000
0.000 4.119 0.000
0.000 0.000 4.214
ATOMIC_POSITIONS angstrom
Au 0.000 0.000 0.000
Se 2.059 2.059 2.107
N 0.000 2.059 0.000
N 2.059 0.000 0.000
F 0.000 0.000 2.107
! E_form (uncorrected)	1.55	eV/atom
! ΔE to the lowest computed polymorph	253	meV per atom
! total DFT energy (no corrections)	-3.507	eV/atom


No. 7
! ErSnSe3 | the Alexandria database | PBE | relaxed; values from VASP
&SYSTEM
  ibrav = 0, nat = 10, ntyp = 3
/
ATOMIC_SPECIES
Er 167.26 Er.upf
Sn 118.71 Sn.upf
Se 78.96 Se.upf
CELL_PARAMETERS angstrom
6.930 0.000 0.000
-3.465 6.002 0.000
0.000 0.000 7.002
ATOMIC_POSITIONS angstrom
Er 0.000 0.000 0.000
Er 0.000 0.000 3.501
Sn 3.465 2.001 0.000
Sn 3.465 2.001 3.501
Se 2.266 0.020 1.751
Se 1.150 1.953 5.252
Se 4.664 0.020 5.252
Se 2.349 4.029 1.751
Se 5.780 1.953 1.751
Se 4.581 4.029 5.252
! E_form (uncorrected)	-0.98	eV/atom
! total DFT energy (no corrections)	-4.782	eV/atom


No. 8
! Ba6Ag2RhI3 | the Alexandria database | PBE | relaxed; values from VASP
&SYSTEM
  ibrav = 0, nat = 12, ntyp = 4
/
ATOMIC_SPECIES
Ba 137.33 Ba.upf
Ag 107.87 Ag.upf
Rh 102.91 Rh.upf
I 126.90 I.upf
CELL_PARAMETERS angstrom
4.114 -7.116 0.000
4.114 7.116 0.000
-2.735 0.000 8.800
ATOMIC_POSITIONS angstrom
Ba 1.264 2.184 1.829
Ba -0.215 0.000 6.957
Ba 1.264 -2.184 1.829
Ba 4.228 2.184 6.971
Ba 5.708 0.000 1.843
Ba 4.228 -2.184 6.971
Ag 4.114 2.364 0.000
Ag 4.114 -2.364 0.000
Rh 0.000 0.000 0.000
I 2.746 4.710 4.400
I 2.746 0.000 4.400
I 2.746 -4.710 4.400
! E_form (uncorrected)	-0.82	eV/atom
! total DFT energy (no corrections)	-3.254	eV/atom


No. 9
! BeIrBr | the Alexandria database | PBE | relaxed; values from VASP
&SYSTEM
  ibrav = 0, nat = 6, ntyp = 3
/
ATOMIC_SPECIES
Be 9.01 Be.upf
Ir 192.22 Ir.upf
Br 79.90 Br.upf
CELL_PARAMETERS angstrom
2.970 0.000 0.000
0.000 3.570 0.000
-0.012 -0.021 10.627
ATOMIC_POSITIONS angstrom
Be 0.000 0.000 0.000
Be 0.001 1.785 1.424
Ir 1.473 1.763 10.136
Ir 1.485 0.000 1.789
Br 1.484 -0.003 4.220
Br 2.958 1.761 7.922
! E_form (uncorrected)	-0.11	eV/atom
! ΔE to the lowest computed polymorph	192	meV per atom
! total DFT energy (no corrections)	-4.861	eV/atom


No. 10
! Pa3Cr4PbN12 | the Alexandria database | PBE | relaxed; values from VASP
&SYSTEM
  ibrav = 0, nat = 20, ntyp = 4
/
ATOMIC_SPECIES
Pa 231.04 Pa.upf
Cr 52.00 Cr.upf
Pb 207.20 Pb.upf
N 14.01 N.upf
CELL_PARAMETERS angstrom
5.670 3.274 2.858
-5.670 3.274 2.858
0.000 -6.548 2.858
ATOMIC_POSITIONS angstrom
Pa -3.110 -1.161 2.858
Pa 2.561 -2.112 2.858
Pa 0.549 3.274 2.858
Cr -2.559 -4.433 4.288
Cr 0.000 0.000 4.288
Cr -2.559 4.433 4.288
Cr 5.119 0.000 4.288
Pb 0.000 0.000 0.000
N -3.415 -2.956 4.184
N -4.465 0.000 4.288
N -0.853 -4.435 4.391
N -1.759 0.000 4.288
N -3.415 2.956 4.391
N 2.233 -3.867 4.288
N 0.879 -1.523 4.288
N -0.853 4.435 4.184
N 0.879 1.523 4.288
N 4.267 -1.479 4.184
N 2.232 3.867 4.288
N 4.267 1.479 4.391
! E_form (uncorrected)	-0.46	eV/atom
! total DFT energy (no corrections)	-8.988	eV/atom


No. 11
! SmErTmTh | the Alexandria database | PBE | relaxed; values from VASP
&SYSTEM
  ibrav = 0, nat = 4, ntyp = 4
/
ATOMIC_SPECIES
Sm 150.36 Sm.upf
Er 167.26 Er.upf
Tm 168.93 Tm.upf
Th 232.04 Th.upf
CELL_PARAMETERS angstrom
1.789 1.033 11.429
-1.789 1.033 11.429
0.000 -2.066 11.429
ATOMIC_POSITIONS angstrom
Sm 0.000 0.000 0.000
Er 0.000 0.000 8.519
Tm 0.000 0.000 14.364
Th 0.000 0.000 28.590
! ΔE to the lowest computed polymorph	0	meV per atom
! total DFT energy (no corrections)	-5.281	eV/atom
! energy relative to the elements	0.0122	eV/atom


No. 12
! TaAl2Sb | the Alexandria database | PBE | relaxed; values from VASP
&SYSTEM
  ibrav = 0, nat = 4, ntyp = 3
/
ATOMIC_SPECIES
Ta 180.95 Ta.upf
Al 26.98 Al.upf
Sb 121.76 Sb.upf
CELL_PARAMETERS angstrom
5.009 -1.483 0.000
5.009 1.483 0.000
-0.571 0.000 5.075
ATOMIC_POSITIONS angstrom
Ta 0.000 0.000 0.000
Al 4.607 0.000 2.386
Al 7.212 0.000 1.232
Sb 2.145 0.000 3.845
! E_form (uncorrected)	0.09	eV/atom
! total DFT energy (no corrections)	-5.779	eV/atom


No. 13
! KSr2LaSe4 | the Alexandria database | PBE | relaxed; values from VASP
&SYSTEM
  ibrav = 0, nat = 8, ntyp = 4
/
ATOMIC_SPECIES
K 39.10 K.upf
Sr 87.62 Sr.upf
La 138.91 La.upf
Se 78.96 Se.upf
CELL_PARAMETERS angstrom
7.655 0.000 0.000
0.000 4.469 0.000
-2.471 0.000 7.351
ATOMIC_POSITIONS angstrom
K 0.000 0.000 0.000
Sr 2.592 0.000 3.675
Sr 3.828 2.235 0.000
La -1.236 2.235 3.675
Se 0.048 0.000 5.412
Se 1.274 2.235 1.989
Se 3.909 2.235 5.362
Se 5.135 0.000 1.939
! E_form (uncorrected)	-1.90	eV/atom
! total DFT energy (no corrections)	-4.813	eV/atom


No. 14
! Sc3Ag | the Alexandria database | PBE | relaxed; values from VASP
&SYSTEM
  ibrav = 0, nat = 4, ntyp = 2
/
ATOMIC_SPECIES
Sc 44.96 Sc.upf
Ag 107.87 Ag.upf
CELL_PARAMETERS angstrom
4.971 2.870 1.035
-4.971 2.870 1.035
0.000 -5.740 1.035
ATOMIC_POSITIONS angstrom
Sc -2.485 -1.435 1.035
Sc -2.485 1.435 2.070
Sc 0.000 2.870 1.035
Ag 0.000 0.000 0.000
! ΔE to the lowest computed polymorph	166	meV per atom
! total DFT energy (no corrections)	-5.426	eV/atom
! energy relative to the elements	0.0351	eV/atom


No. 15
! NdSm2Al | the Alexandria database | PBE | relaxed; values from VASP
&SYSTEM
  ibrav = 0, nat = 4, ntyp = 3
/
ATOMIC_SPECIES
Nd 144.24 Nd.upf
Sm 150.36 Sm.upf
Al 26.98 Al.upf
CELL_PARAMETERS angstrom
4.870 0.000 0.000
0.000 4.870 0.000
0.000 0.000 4.853
ATOMIC_POSITIONS angstrom
Nd 0.000 0.000 0.000
Sm 0.000 2.435 2.426
Sm 2.435 0.000 2.426
Al 2.435 2.435 0.000
! ΔE to the lowest computed polymorph	16	meV per atom
! total DFT energy (no corrections)	-4.654	eV/atom
! energy relative to the elements	-0.1672	eV/atom


No. 16
! Nd2Dy5Ho4 | the Alexandria database | PBE | relaxed; values from VASP
&SYSTEM
  ibrav = 0, nat = 11, ntyp = 3
/
ATOMIC_SPECIES
Nd 144.24 Nd.upf
Dy 162.50 Dy.upf
Ho 164.93 Ho.upf
CELL_PARAMETERS angstrom
11.898 -1.731 0.000
11.898 1.731 0.000
-1.025 0.000 8.658
ATOMIC_POSITIONS angstrom
Nd 1.953 0.000 2.102
Nd 20.818 0.000 6.556
Dy 2.718 0.000 5.396
Dy 5.225 0.000 2.813
Dy 11.386 0.000 4.329
Dy 17.547 0.000 5.844
Dy 20.054 0.000 3.262
Ho 0.203 0.000 7.456
Ho 7.648 0.000 0.234
Ho 15.124 0.000 8.424
Ho 22.569 0.000 1.202
! ΔE to the lowest computed polymorph	0	meV per atom
! total DFT energy (no corrections)	-4.472	eV/atom
! energy relative to the elements	0.1518	eV/atom


No. 17
! TaBF2 | the Alexandria database | PBE | relaxed; values from VASP
&SYSTEM
  ibrav = 0, nat = 4, ntyp = 3
/
ATOMIC_SPECIES
Ta 180.95 Ta.upf
B 10.81 B.upf
F 19.00 F.upf
CELL_PARAMETERS angstrom
1.366 0.789 10.441
-1.366 0.789 10.441
0.000 -1.578 10.441
ATOMIC_POSITIONS angstrom
Ta 0.000 0.000 0.000
B 0.000 0.000 15.661
F 0.000 0.000 14.319
F 0.000 0.000 17.003
! E_form (uncorrected)	-0.39	eV/atom
! ΔE to the lowest computed polymorph	653	meV per atom
! total DFT energy (no corrections)	-5.956	eV/atom


No. 18
! HoFe22B6 | the Alexandria database | PBE | relaxed; values from VASP
&SYSTEM
  ibrav = 0, nat = 29, ntyp = 3
/
ATOMIC_SPECIES
Ho 164.93 Ho.upf
Fe 55.84 Fe.upf
B 10.81 B.upf
CELL_PARAMETERS angstrom
0.000 5.347 5.347
5.347 0.000 5.347
5.347 5.347 0.000
ATOMIC_POSITIONS angstrom
Ho 0.000 0.000 0.000
Fe 1.877 1.877 0.000
Fe 3.470 3.470 0.000
Fe 1.877 0.000 1.877
Fe 5.347 3.470 1.877
Fe 3.470 0.000 3.470
Fe 5.347 1.877 3.470
Fe 6.610 4.084 4.084
Fe 2.673 2.673 2.673
Fe 0.000 1.877 1.877
Fe 3.470 5.347 1.877
Fe 3.470 1.877 5.347
Fe 4.084 4.084 4.084
Fe 6.610 6.610 4.084
Fe 6.610 4.084 6.610
Fe 4.084 6.610 4.084
Fe 4.084 4.084 6.610
Fe 6.610 6.610 6.610
Fe 0.000 3.470 3.470
Fe 1.877 5.347 3.470
Fe 1.877 3.470 5.347
Fe 8.020 8.020 8.020
Fe 4.084 6.610 6.610
B 5.347 5.347 2.918
B 5.347 2.918 5.347
B 7.775 5.347 5.347
B 2.918 5.347 5.347
B 5.347 7.775 5.347
B 5.347 5.347 7.775
! total DFT energy (no corrections)	-8.106	eV/atom
! energy relative to the elements	-0.1467	eV/atom


No. 19
! Pa3ReB7 | the Alexandria database | PBE | relaxed; values from VASP
&SYSTEM
  ibrav = 0, nat = 22, ntyp = 3
/
ATOMIC_SPECIES
Pa 231.04 Pa.upf
Re 186.21 Re.upf
B 10.81 B.upf
CELL_PARAMETERS angstrom
1.792 -7.934 0.000
1.792 7.934 0.000
0.000 0.000 9.399
ATOMIC_POSITIONS angstrom
Pa 1.792 6.231 5.260
Pa 1.792 6.231 8.838
Pa 1.792 3.994 2.350
Pa 1.792 -3.994 7.049
Pa 1.792 -6.231 0.561
Pa 1.792 -6.231 4.139
Re 1.792 7.132 2.350
Re 1.792 -7.132 7.049
B 1.792 3.559 5.037
B 1.792 3.559 9.061
B 1.792 2.104 6.142
B 1.792 2.104 7.957
B 1.792 0.695 2.350
B 1.792 0.318 5.571
B 1.792 0.318 8.528
B 1.792 -0.318 0.871
B 1.792 -0.318 3.829
B 1.792 -0.695 7.049
B 1.792 -2.104 1.442
B 1.792 -2.104 3.258
B 1.792 -3.559 0.338
B 1.792 -3.559 4.362
! total DFT energy (no corrections)	-8.477	eV/atom
! energy relative to the elements	-0.5062	eV/atom


No. 20
! Na2AcYSe4 | the Alexandria database | PBE | relaxed; values from VASP
&SYSTEM
  ibrav = 0, nat = 8, ntyp = 4
/
ATOMIC_SPECIES
Na 22.99 Na.upf
Ac 227.00 Ac.upf
Y 88.91 Y.upf
Se 78.96 Se.upf
CELL_PARAMETERS angstrom
7.457 0.000 0.000
0.000 4.335 0.000
-2.535 0.000 7.086
ATOMIC_POSITIONS angstrom
Na 0.000 0.000 0.000
Na -1.268 2.167 3.543
Ac 2.461 0.000 3.543
Y 3.728 2.167 0.000
Se 1.341 2.167 1.664
Se 0.042 0.000 5.464
Se 4.880 0.000 1.622
Se 3.580 2.167 5.422
! E_form (uncorrected)	-1.70	eV/atom
! total DFT energy (no corrections)	-5.095	eV/atom


No. 21
! Re3Sn | the Alexandria database | PBE | relaxed; values from VASP
&SYSTEM
  ibrav = 0, nat = 4, ntyp = 2
/
ATOMIC_SPECIES
Re 186.21 Re.upf
Sn 118.71 Sn.upf
CELL_PARAMETERS angstrom
-1.995 1.995 4.061
1.995 -1.995 4.061
1.995 1.995 -4.061
ATOMIC_POSITIONS angstrom
Re 0.000 0.000 0.000
Re 1.995 0.000 2.030
Re 0.000 1.995 2.030
Sn 0.000 0.000 4.061
! total DFT energy (no corrections)	-9.780	eV/atom
! energy relative to the elements	0.5571	eV/atom


No. 22
! MgTl2Ga | the Alexandria database | PBE | relaxed; values from VASP
&SYSTEM
  ibrav = 0, nat = 8, ntyp = 3
/
ATOMIC_SPECIES
Mg 24.30 Mg.upf
Tl 204.38 Tl.upf
Ga 69.72 Ga.upf
CELL_PARAMETERS angstrom
-2.234 2.234 10.745
2.234 -2.234 10.745
2.234 2.234 -10.745
ATOMIC_POSITIONS angstrom
Mg 0.000 0.000 0.000
Mg 0.000 2.234 5.373
Tl 1.117 -1.105 8.059
Tl 1.129 1.117 2.686
Tl 1.117 3.340 -2.686
Tl 1.105 1.117 13.432
Ga 2.234 0.000 5.373
Ga 0.000 0.000 10.745
! ΔE to the lowest computed polymorph	94	meV per atom
! total DFT energy (no corrections)	-2.206	eV/atom
! energy relative to the elements	0.1322	eV/atom


No. 23
! Mn5V3 | the Alexandria database | PBE | relaxed; values from VASP
&SYSTEM
  ibrav = 0, nat = 8, ntyp = 2
/
ATOMIC_SPECIES
Mn 54.94 Mn.upf
V 50.94 V.upf
CELL_PARAMETERS angstrom
2.867 -4.038 0.000
2.867 4.038 0.000
0.000 0.000 4.053
ATOMIC_POSITIONS angstrom
Mn 0.000 0.000 0.000
Mn 1.433 2.019 0.000
Mn 1.455 0.000 2.026
Mn 1.433 -2.019 0.000
Mn 4.279 0.000 2.026
V 2.867 2.061 2.026
V 2.867 0.000 0.000
V 2.867 -2.061 2.026
! total DFT energy (no corrections)	-9.315	eV/atom
! energy relative to the elements	-0.1650	eV/atom


No. 24
! Cu2CN | the Alexandria database | PBE | relaxed; values from VASP
&SYSTEM
  ibrav = 0, nat = 4, ntyp = 3
/
ATOMIC_SPECIES
Cu 63.55 Cu.upf
C 12.01 C.upf
N 14.01 N.upf
CELL_PARAMETERS angstrom
0.000 2.619 2.619
2.619 0.000 2.619
2.619 2.619 0.000
ATOMIC_POSITIONS angstrom
Cu 1.309 1.309 1.309
Cu 3.928 3.928 3.928
C 0.000 0.000 0.000
N 2.619 2.619 2.619
! E_form (uncorrected)	1.59	eV/atom
! ΔE to the lowest computed polymorph	285	meV per atom
! total DFT energy (no corrections)	-4.842	eV/atom